1.
VASP calculation (GGA-PBEsol) on a relaxed MgCo2Bi crystal.

Cell: 4.380 4.380 4.380 Å, 60.00 60.00 60.00°
Site moments in Bohr magnetons follow the coordinates.
Fractional positions:
Mg (0.000, 0.000, 0.000)  -0.01
Co (0.250, 0.250, 0.250)  0.72
Co (0.750, 0.750, 0.750)  0.72
Bi (0.500, 0.500, 0.500)  -0.02

Values from the calculation:
**DOS(E_F)**: 0.469 states/eV per atom
**Size of the total moment**: 1.34 μB per formula unit
**Calculated formation energy**: 0.21 eV/atom


2.
VASP calculation (GGA-PBEsol) on a relaxed Tc2SbBr crystal.

Cell: 3.008 5.300 5.300 Å, 60.95 73.51 73.51°
Fractional positions:
Sb (0.000, 0.500, 0.500)
Tc (0.245, 0.755, 0.755)
Tc (0.755, 0.245, 0.245)
Br (0.500, 0.000, 0.000)

Values from the calculation:
**DOS(E_F)**: 1.318 states/eV per atom
**Energy above the most stable polymorph in this dataset**: 717 meV/atom
**E_form (uncorrected)**: 0.85 eV/atom
**Size of the total moment**: 0.00 μB per formula unit


3.
VASP calculation (GGA-PBEsol) on a relaxed CaLaTe2 crystal.

Cell: 4.351 4.351 8.208 Å, 74.63 74.63 60.00°
Site moments in Bohr magnetons follow the coordinates.
Fractional positions:
Ca (0.419, 0.419, 0.744)  0.02
Te (0.003, 0.003, 0.990)  -0.01
Te (0.829, 0.829, 0.512)  0.00
La (0.249, 0.249, 0.254)  0.27

Values from the calculation:
**DOS(E_F)**: 0.342 states/eV per atom
**Energy above the most stable polymorph in this dataset**: 45 meV/atom
**E_form (uncorrected)**: -1.55 eV/atom
**Size of the total moment**: 0.79 μB per formula unit


Number 1: total energy -5.16 eV/atom. Number 2: total energy -6.39 eV/atom. Number 3: total energy -5.19 eV/atom.